Record 1
ZnCdO2F: relaxed, PBE.

Total DFT energy (no corrections) = -15.8 eV/cell
Formation energy without anion corrections = -1.793 eV/f.u.

Lattice parameters (Å, degrees): 4.1830 4.1830 4.2290 90.00 90.00 90.00
Sites, in units of the cell vectors:
1 Zn 0.5000 0.5000 0.5000
2 F 0.0000 0.0000 0.5000
3 O 0.0000 0.5000 0.0000
4 O 0.5000 0.0000 0.0000
5 Cd 0.0000 0.0000 0.0000


Record 2
NbIrPt: relaxed, PBE.

Total DFT energy (no corrections) = -52.7 eV/cell
Formation enthalpy at 0 K = -131.7 kJ/mol of formula units
Relative energy among the computed polymorphs = 0.0802 eV/atom

Lattice parameters (Å, degrees): 4.4934 4.4958 5.5553 90.00 90.00 119.98
Sites, in units of the cell vectors:
1 Nb 0.6666 0.8333 0.7500
2 Nb 0.3334 0.1667 0.2500
3 Ir 0.0000 0.5000 0.0000
4 Ir 0.0000 0.5000 0.5000
5 Pt 0.6665 0.8331 0.2500
6 Pt 0.3335 0.1669 0.7500


Record 3
Tb4TlGaO: relaxed, PBE.

Total DFT energy (no corrections) = -73.2 eV/cell
Formation energy without anion corrections = -7.709 eV/f.u.

Lattice parameters (Å, degrees): 6.5137 6.5275 8.7743 90.00 111.79 90.00
Sites, in units of the cell vectors:
1 Tb 0.9339 0.2500 0.8679
2 Tb 0.4180 0.7500 0.8360
3 Tb 0.0661 0.7500 0.1321
4 Tb 0.5820 0.2500 0.1640
5 Tb 0.5000 0.5000 0.5000
6 Tb 0.0000 0.0000 0.5000
7 Tb 0.5000 0.0000 0.5000
8 Tb 0.0000 0.5000 0.5000
9 Tl 0.6084 0.7500 0.2168
10 Tl 0.3916 0.2500 0.7832
11 Ga 0.1177 0.2500 0.2354
12 Ga 0.8823 0.7500 0.7646
13 O 0.2647 0.7500 0.5293
14 O 0.7353 0.2500 0.4707